Entry 1:
CsBaTlIr2 | PBE | relaxed

The structure in POSCAR format:
```
CsBaTlIr2
1.0
-3.430 1.729 3.840
-4.664 0.210 -4.261
-1.293 -5.146 1.162
Ba Cs Tl Ir
1 1 1 2
Direct
0.000 0.000 0.000 Ba
0.500 0.500 0.500 Cs
0.000 0.500 0.000 Tl
0.500 0.000 0.000 Ir
0.000 0.000 0.500 Ir
```

***

Entry 2:
CsBaTl2Ir | PBE | relaxed

The structure in POSCAR format:
```
CsBaTl2Ir
1.0
5.484 0.000 0.000
0.000 5.484 0.000
0.000 0.000 6.000
Ba Ir Cs Tl
1 1 1 2
Direct
0.000 0.000 0.500 Ba
0.000 0.000 0.000 Ir
0.500 0.500 0.500 Cs
0.000 0.500 0.000 Tl
0.500 0.000 0.000 Tl
```

***

Entry 3:
CsBaZnIr2 | PBE | relaxed

The structure in POSCAR format:
```
CsBaZnIr2
1.0
5.249 0.000 0.000
0.000 5.735 0.000
0.000 0.000 5.249
Zn Ir Cs Ba
1 2 1 1
Direct
0.000 0.500 0.000 Zn
0.500 0.000 0.000 Ir
0.000 0.000 0.500 Ir
0.000 0.000 0.000 Cs
0.500 0.500 0.500 Ba
```

***

| no. | spin magnetization (μB/f.u.) | ΔE_f (meV per atom) |
| --- | --- | --- |
| 1 | 0.0 | 1443 |
| 2 | 0.0 | -24 |
| 3 | 0.0 | 1532 |